VASP calculation (PBE-GGA) on crystalline Cr3CoSb at its relaxed geometry.

Cell and atoms, written as extended XYZ:
```
5
Lattice="-1.076 -0.607 4.198 0.879 -4.269 -0.392 4.149 0.747 1.172" Properties=species:S:1:pos:R:3 pbc="T T T"
Sb 1.976 -2.064 2.489
Co 0.000 0.000 0.000
Cr 0.440 -2.134 -0.196
Cr 2.075 0.373 0.586
Cr -0.538 -0.304 2.099
```

Output
Formation energy without anion corrections in kcal/mol of atoms: 20.3

VASP calculation (PBE-GGA) on crystalline VFeSbP2 at its relaxed geometry.

Cell and atoms, written as extended XYZ:
```
5
Lattice="-2.322 1.256 3.296 -3.719 -2.536 -1.654 1.310 -3.357 2.202" Properties=species:S:1:pos:R:3 pbc="T T T"
Sb -2.366 -2.319 1.923
Fe 0.000 0.000 0.000
P 0.655 -1.679 1.101
P -1.161 0.628 1.648
V -1.860 -1.268 -0.827
```

Output
Formation energy without anion corrections in kcal/mol of atoms: 10.3

VASP calculation (PBE-GGA) on crystalline Pm2Ni4Sn3Ge at its relaxed geometry.

Cell and atoms, written as extended XYZ:
```
10
Lattice="4.372 0.000 0.000 0.000 4.372 0.000 0.000 0.000 10.068" Properties=species:S:1:pos:R:3 pbc="T T T"
Pm 2.186 0.000 2.509
Pm 0.000 2.186 7.559
Ni 2.186 2.186 0.000
Ni 0.000 0.000 0.000
Ni 2.186 0.000 6.237
Ni 0.000 2.186 3.832
Sn 0.000 0.000 5.034
Sn 2.186 0.000 8.756
Sn 0.000 2.186 1.312
Ge 2.186 2.186 5.034
```

Output
DFT formation energy in meV per atom: -544

Number 1: magnetic moment 6.3 μB per cell, DOS at the Fermi energy 1.20 states/eV per atom. Number 2: magnetic moment 0.3 μB per cell, DOS at the Fermi energy 1.18 states/eV per atom. Number 3: magnetic moment 0.0 μB per cell, DOS at the Fermi energy 0.59 states/eV per atom.